Record 1
The following is a DFT calculation (PBE) of a relaxed K2RhCl crystal.

Computed properties:
Offset from the most stable computed form   473 meV per atom

Structure (CIF):
```
data_K2RhCl
_chemical_formula_sum 'K8 Rh4 Cl4'
_space_group_name_H-M_alt 'F -4 3 m'
_space_group_IT_number 216
_space_group_name_Hall 'F -4 2 3'
_cell_length_a 7.461
_cell_length_b 7.461
_cell_length_c 7.461
_cell_angle_alpha 90.00
_cell_angle_beta 90.00
_cell_angle_gamma 90.00
loop_
_atom_site_label
_atom_site_type_symbol
_atom_site_fract_x
_atom_site_fract_y
_atom_site_fract_z
_atom_site_occupancy
K1 K 0.000 0.000 0.000 1
K2 K 0.250 0.250 0.250 1
Rh1 Rh 0.000 0.000 0.500 1
Cl1 Cl 0.250 0.250 0.750 1
```

Record 2
The following is a DFT calculation (PBE) of a relaxed PaMn2Re crystal.

Computed properties:
Energy of formation   0.1 eV per formula unit
Offset from the most stable computed form   0 meV per atom

Structure (CIF):
```
data_PaMn2Re
_chemical_formula_sum 'Pa1 Mn2 Re1'
_space_group_name_H-M_alt 'P 4/m m m'
_space_group_IT_number 123
_space_group_name_Hall '-P 4 2'
_cell_length_a 2.936
_cell_length_b 2.936
_cell_length_c 7.075
_cell_angle_alpha 90.00
_cell_angle_beta 90.00
_cell_angle_gamma 90.00
loop_
_atom_site_label
_atom_site_type_symbol
_atom_site_fract_x
_atom_site_fract_y
_atom_site_fract_z
_atom_site_occupancy
Pa1 Pa 0.000 0.000 0.000 1
Mn1 Mn 0.500 0.500 0.298 1
Re1 Re 0.000 0.000 0.500 1
```

Record 3
The following is a DFT calculation (PBE) of a relaxed CsCaBi4 crystal.

Computed properties:
Energy of formation   -1.4 eV per formula unit
Offset from the most stable computed form   99 meV per atom

Structure (CIF):
```
data_CsCaBi4
_chemical_formula_sum 'Cs4 Ca4 Bi16'
_space_group_name_H-M_alt 'F -4 3 m'
_space_group_IT_number 216
_space_group_name_Hall 'F -4 2 3'
_cell_length_a 9.616
_cell_length_b 9.616
_cell_length_c 9.616
_cell_angle_alpha 90.00
_cell_angle_beta 90.00
_cell_angle_gamma 90.00
loop_
_atom_site_label
_atom_site_type_symbol
_atom_site_fract_x
_atom_site_fract_y
_atom_site_fract_z
_atom_site_occupancy
Cs1 Cs 0.000 0.000 0.000 1
Ca1 Ca 0.250 0.250 0.250 1
Bi1 Bi 0.124 0.124 0.624 1
```

Record 4
The following is a DFT calculation (PBE) of a relaxed ThPaTeC crystal.

Computed properties:
Calculated total energy   -95.9 eV per cell

Structure (CIF):
```
data_ThPaTeC
_chemical_formula_sum 'Th3 Pa3 Te3 C3'
_space_group_name_H-M_alt 'R 3 m'
_space_group_IT_number 160
_space_group_name_Hall 'R 3 -2"'
_cell_length_a 3.7916
_cell_length_b 3.7916
_cell_length_c 22.5323
_cell_angle_alpha 90.00
_cell_angle_beta 90.00
_cell_angle_gamma 120.00
loop_
_atom_site_label
_atom_site_type_symbol
_atom_site_fract_x
_atom_site_fract_y
_atom_site_fract_z
_atom_site_occupancy
Th1 Th 0.0000 0.0000 0.0000 1
Pa1 Pa 0.0000 0.0000 0.7905 1
Te1 Te 0.0000 0.0000 0.2249 1
C1 C 0.0000 0.0000 0.4026 1
```

| no. | theoretical density (Mg/m³) | total magnetic moment (μB/f.u.) |
| --- | --- | --- |
| 1 | 3.5 | 0.57 |
| 2 | 14.4 | 0.00 |
| 3 | 7.5 | 0.00 |
| 4 | 10.7 | 0.33 |